# 1
# NdIn4Hg GGA-PBE optimized geometry
# Calculated formation energy   -127 meV/atom
data_NdIn4Hg
_cell_length_a 8.689
_cell_length_b 8.689
_cell_length_c 8.689
_cell_angle_alpha 90.00
_cell_angle_beta 90.00
_cell_angle_gamma 90.00
_space_group_name_H-M_alt 'F -4 3 m'
_space_group_IT_number 216
_space_group_name_Hall 'F -4 2 3'
loop_
_atom_site_label
_atom_site_fract_x
_atom_site_fract_y
_atom_site_fract_z
Nd1 0.000 0.000 0.000
In1 0.125 0.125 0.625
Hg1 0.250 0.250 0.250


# 2
# ScTaAs2 GGA-PBE optimized geometry
# Calculated formation energy   -479 meV/atom
# Relative energy among the computed polymorphs   0.398 eV per atom
data_ScTaAs2
_cell_length_a 6.519
_cell_length_b 7.254
_cell_length_c 3.210
_cell_angle_alpha 90.00
_cell_angle_beta 106.23
_cell_angle_gamma 90.00
_space_group_name_H-M_alt 'C 1 2/m 1'
_space_group_IT_number 12
_space_group_name_Hall '-C 2y'
loop_
_atom_site_label
_atom_site_fract_x
_atom_site_fract_y
_atom_site_fract_z
Sc1 0.000 0.000 0.000
Ta1 0.000 0.500 0.000
As1 0.250 0.250 0.500


# 3
# Pm3Pr2SmY6 GGA-PBE optimized geometry
# Calculated formation energy   10 meV/atom
data_Pm3Pr2SmY6
_cell_length_a 6.285
_cell_length_b 10.882
_cell_length_c 11.894
_cell_angle_alpha 90.00
_cell_angle_beta 100.10
_cell_angle_gamma 90.00
_space_group_name_H-M_alt 'C 1 2/m 1'
_space_group_IT_number 12
_space_group_name_Hall '-C 2y'
loop_
_atom_site_label
_atom_site_fract_x
_atom_site_fract_y
_atom_site_fract_z
Pm1 0.000 0.000 0.000
Pm2 0.000 0.333 0.000
Pr1 0.000 0.167 0.500
Sm1 0.000 0.500 0.500
Y1 0.249 0.500 0.249
Y2 0.250 0.166 0.249


# 4
# Sm2Zn5Rh GGA-PBE optimized geometry
# Calculated formation energy   -401 meV/atom
data_Sm2Zn5Rh
_cell_length_a 4.134
_cell_length_b 16.516
_cell_length_c 9.119
_cell_angle_alpha 90.00
_cell_angle_beta 90.00
_cell_angle_gamma 90.00
_space_group_name_H-M_alt 'C m c m'
_space_group_IT_number 63
_space_group_name_Hall '-C 2c 2'
loop_
_atom_site_label
_atom_site_fract_x
_atom_site_fract_y
_atom_site_fract_z
Sm1 0.000 0.000 0.000
Sm2 0.000 0.183 0.250
Zn1 0.000 0.195 0.609
Zn2 0.000 0.355 0.519
Zn3 0.000 0.398 0.250
Rh1 0.000 0.447 0.750


# 5
# LaCe2Zr GGA-PBE optimized geometry
# Calculated formation energy   297 meV/atom
# Relative energy among the computed polymorphs   0.181 eV per atom
data_LaCe2Zr
_cell_length_a 7.679
_cell_length_b 7.679
_cell_length_c 7.679
_cell_angle_alpha 90.00
_cell_angle_beta 90.00
_cell_angle_gamma 90.00
_space_group_name_H-M_alt 'F m -3 m'
_space_group_IT_number 225
_space_group_name_Hall '-F 4 2 3'
loop_
_atom_site_label
_atom_site_fract_x
_atom_site_fract_y
_atom_site_fract_z
La1 0.000 0.000 0.000
Ce1 0.250 0.250 0.250
Zr1 0.000 0.000 0.500


# 6
# ErBe2SiRu GGA-PBE optimized geometry
# Formation energy without anion corrections   -0.420 eV/atom
data_ErBe2SiRu
_cell_length_a 3.759
_cell_length_b 3.787
_cell_length_c 10.172
_cell_angle_alpha 90.00
_cell_angle_beta 90.00
_cell_angle_gamma 90.00
_space_group_name_H-M_alt 'I m m 2'
_space_group_IT_number 44
_space_group_name_Hall 'I 2 -2'
loop_
_atom_site_label
_atom_site_fract_x
_atom_site_fract_y
_atom_site_fract_z
Er1 0.000 0.000 0.000
Be1 0.000 0.000 0.614
Be2 0.000 0.500 0.246
Si1 0.000 0.000 0.381
Ru1 0.000 0.500 0.739


# 7
# CaZrAu2 GGA-PBE optimized geometry
# Calculated formation energy   -578 meV/atom
data_CaZrAu2
_cell_length_a 3.255
_cell_length_b 5.143
_cell_length_c 5.144
_cell_angle_alpha 90.00
_cell_angle_beta 90.00
_cell_angle_gamma 90.00
_space_group_name_H-M_alt 'P m m 2'
_space_group_IT_number 25
_space_group_name_Hall 'P 2 -2'
loop_
_atom_site_label
_atom_site_fract_x
_atom_site_fract_y
_atom_site_fract_z
Ca1 0.000 0.000 0.000
Zr1 0.000 0.500 0.502
Au1 0.500 0.000 0.499
Au2 0.500 0.500 0.002


# 8
# TbMgGe2 GGA-PBE optimized geometry
# Calculated formation energy   -487 meV/atom
# Relative energy among the computed polymorphs   0.000 eV per atom
data_TbMgGe2
_cell_length_a 8.049
_cell_length_b 3.879
_cell_length_c 10.956
_cell_angle_alpha 90.00
_cell_angle_beta 90.00
_cell_angle_gamma 90.00
_space_group_name_H-M_alt 'P n m a'
_space_group_IT_number 62
_space_group_name_Hall '-P 2ac 2n'
loop_
_atom_site_label
_atom_site_fract_x
_atom_site_fract_y
_atom_site_fract_z
Tb1 0.121 0.250 0.148
Mg1 0.014 0.750 0.396
Ge1 0.166 0.250 0.804
Ge2 0.243 0.750 0.954


# 9
# Tb4Sm5Tl4 GGA-PBE optimized geometry
# Calculated formation energy   -252 meV/atom
data_Tb4Sm5Tl4
_cell_length_a 12.473
_cell_length_b 12.473
_cell_length_c 5.125
_cell_angle_alpha 90.00
_cell_angle_beta 90.00
_cell_angle_gamma 90.00
_space_group_name_H-M_alt 'I 4/m'
_space_group_IT_number 87
_space_group_name_Hall '-I 4'
loop_
_atom_site_label
_atom_site_fract_x
_atom_site_fract_y
_atom_site_fract_z
Tb1 0.094 0.394 0.000
Sm1 0.000 0.000 0.000
Sm2 0.102 0.190 0.500
Tl1 0.103 0.764 0.000


# 10
# Sr2Te2C GGA-PBE optimized geometry
# Formation energy without anion corrections   0.371 eV/atom
data_Sr2Te2C
_cell_length_a 4.324
_cell_length_b 4.324
_cell_length_c 17.145
_cell_angle_alpha 90.00
_cell_angle_beta 90.00
_cell_angle_gamma 90.00
_space_group_name_H-M_alt 'I 4/m m m'
_space_group_IT_number 139
_space_group_name_Hall '-I 4 2'
loop_
_atom_site_label
_atom_site_fract_x
_atom_site_fract_y
_atom_site_fract_z
Sr1 0.000 0.000 0.096
Te1 0.000 0.500 0.250
C1 0.000 0.000 0.500


# 11
# K3TcI2F6 GGA-PBE optimized geometry
# Formation energy without anion corrections   -2.059 eV/atom
data_K3TcI2F6
_cell_length_a 14.678
_cell_length_b 6.690
_cell_length_c 6.472
_cell_angle_alpha 90.00
_cell_angle_beta 90.68
_cell_angle_gamma 90.00
_space_group_name_H-M_alt 'C 1 2/m 1'
_space_group_IT_number 12
_space_group_name_Hall '-C 2y'
loop_
_atom_site_label
_atom_site_fract_x
_atom_site_fract_y
_atom_site_fract_z
K1 0.000 0.000 0.000
K2 0.250 0.250 0.500
Tc1 0.000 0.500 0.500
I1 0.243 0.000 0.984
F1 0.035 0.287 0.305
F2 0.128 0.500 0.600


# 12
# Sc2InH GGA-PBE optimized geometry
# Relative energy among the computed polymorphs   0.000 eV per atom
data_Sc2InH
_cell_length_a 6.324
_cell_length_b 4.587
_cell_length_c 9.621
_cell_angle_alpha 90.00
_cell_angle_beta 90.00
_cell_angle_gamma 90.00
_space_group_name_H-M_alt 'P n m a'
_space_group_IT_number 62
_space_group_name_Hall '-P 2ac 2n'
loop_
_atom_site_label
_atom_site_fract_x
_atom_site_fract_y
_atom_site_fract_z
Sc1 0.097 0.250 0.210
Sc2 0.143 0.250 0.553
In1 0.168 0.250 0.873
H1 0.091 0.750 0.614